## Ba2VSnO6 (PBE+U)

Data for Ba2VSnO6 after structural relaxation.

abc: 5.8454 5.8454 5.7851
angles: 59.65 59.65 90.00
With the nearest neighbours (Å) after each atom.
Sites, in units of the cell vectors:
Ba  0.2500  0.7500  0.5000  12 O 2.89-2.93
Ba  0.7500  0.2500  0.5000  12 O 2.89-2.93
V  0.0000  0.0000  0.0000  6 O 1.90-2.05
Sn  0.5000  0.5000  0.0000  6 O 2.09-2.14
O  0.2478  0.7522  0.0000  1 V 2.05, 1 Sn 2.09
O  0.7522  0.7522  0.0000  1 V 2.05, 1 Sn 2.09
O  0.2351  0.2351  0.5298  1 V 1.90
O  0.7522  0.2478  0.0000  1 V 2.05, 1 Sn 2.09
O  0.2478  0.2478  0.0000  1 V 2.05, 1 Sn 2.09
O  0.7649  0.7649  0.4702  1 V 1.90

Space group: I4/mmm (139)
Volume: 138.3 Å³ per cell
E: -6.787 eV per atom